DFT (PBE) results for a geometry-optimized Rb2NdCuCl6 structure.

Cell lengths 7.474, 7.474, 7.474 Å; angles 60.00, 60.00, 60.00 degrees
Each line ends with the local moment (μB).
Positions (direct):
Cu 0.000 0.000 0.000  0.07
Rb 0.250 0.250 0.250  0.00
Rb 0.750 0.750 0.750  0.00
Nd 0.500 0.500 0.500  0.00
Cl 0.242 0.242 0.758  0.00
Cl 0.242 0.758 0.758  0.00
Cl 0.242 0.758 0.242  0.00
Cl 0.758 0.242 0.242  0.00
Cl 0.758 0.242 0.758  0.00
Cl 0.758 0.758 0.242  0.00

As for the formation energy without anion corrections: -1.75 eV/atom. The crystal system is cubic. As for the symmetry: Fm-3m, No. 225.